PBE La2FeCl2, relaxed; offset from the most stable computed form = 0.0000 eV/atom; magnetic moment = 0.439 μB per formula unit; formation energy without anion corrections = -795 meV per atom; space-group type = No. 139
1.0
5.683 0.000 0.000
0.000 5.683 0.000
2.842 2.842 3.706
Cl Fe La
2 1 2
Direct
0.292 0.292 0.416
0.708 0.708 0.584
0.000 0.000 0.000
0.750 0.250 0.500
0.250 0.750 0.500



PBE Na3Ga5Hg12, relaxed; formation enthalpy at 0 K = 0.09 eV/atom; magnetic moment = 0.000 μB per formula unit; space-group type = No. 230
1.0
14.560 0.000 0.000
-4.853 13.727 0.000
-4.853 -6.864 11.888
Na Ga Hg
12 20 48
Direct
0.750 0.375 0.125
0.875 0.750 0.125
0.375 0.750 0.625
0.250 0.125 0.375
0.875 0.125 0.250
0.375 0.625 0.250
0.625 0.375 0.750
0.125 0.875 0.750
0.750 0.875 0.625
0.625 0.250 0.375
0.125 0.250 0.875
0.250 0.625 0.875
0.125 0.375 0.250
0.000 0.500 0.000
0.000 0.000 0.000
0.375 0.250 0.125
0.500 0.000 0.500
0.500 0.500 0.000
0.125 0.750 0.375
0.750 0.125 0.875
0.750 0.625 0.375
0.375 0.125 0.750
0.625 0.875 0.250
0.500 0.500 0.500
0.500 0.000 0.000
0.000 0.000 0.500
0.250 0.375 0.625
0.250 0.875 0.125
0.000 0.500 0.500
0.875 0.250 0.625
0.625 0.750 0.875
0.875 0.625 0.750
0.720 0.127 0.048
0.329 0.548 0.421
0.952 0.373 0.280
0.548 0.220 0.127
0.593 0.720 0.671
0.952 0.579 0.171
0.329 0.780 0.407
0.079 0.907 0.127
0.579 0.952 0.671
0.720 0.593 0.171
0.780 0.452 0.373
0.829 0.921 0.048
0.127 0.720 0.548
0.373 0.421 0.093
0.093 0.921 0.373
0.407 0.127 0.579
0.093 0.171 0.220
0.452 0.671 0.079
0.829 0.907 0.280
0.127 0.407 0.079
0.373 0.952 0.780
0.579 0.627 0.407
0.921 0.829 0.548
0.780 0.329 0.907
0.421 0.373 0.593
0.079 0.171 0.452
0.220 0.671 0.093
0.171 0.093 0.720
0.627 0.048 0.220
0.873 0.593 0.921
0.548 0.329 0.921
0.593 0.873 0.421
0.907 0.829 0.780
0.907 0.079 0.627
0.873 0.280 0.452
0.171 0.079 0.952
0.627 0.579 0.907
0.421 0.048 0.329
0.280 0.407 0.829
0.220 0.548 0.627
0.921 0.093 0.873
0.671 0.220 0.593
0.452 0.780 0.873
0.048 0.421 0.829
0.407 0.280 0.329
0.048 0.627 0.720
0.671 0.452 0.579
0.280 0.873 0.952



PBE SrRuCl2, relaxed; offset from the most stable computed form = 0.3019 eV/atom; magnetic moment = 2.213 μB per formula unit; formation energy without anion corrections = -438 meV per atom; space-group type = No. 123
1.0
4.780 0.000 0.000
0.000 4.780 0.000
0.000 0.000 3.759
Ru Cl Sr
1 2 1
Direct
0.500 0.000 0.500
0.000 0.000 0.000
0.500 0.500 0.000
0.000 0.500 0.500



no.,Fermi-level density of states (states/eV/cell)
1,4.49
2,54.79
3,4.25